Entry from Alexandria: a relaxed structure of KSr2Ta (PBEsol). Values from VASP.

ΔH_f (0 K) in kJ/mol of formula units: 421
E_tot in eV/atom: -3.251

```
&SYSTEM
  ibrav = 0, nat = 4, ntyp = 3
/
ATOMIC_SPECIES
K 39.10 K.upf
Sr 87.62 Sr.upf
Ta 180.95 Ta.upf
CELL_PARAMETERS angstrom
3.4125 0.0000 0.0000
0.0000 6.1319 0.0000
0.0000 0.0000 6.6288
ATOMIC_POSITIONS crystal
K 0.0000 0.0000 0.0000
Sr 0.5000 0.0000 0.5382
Sr 0.5000 0.5000 0.2034
Ta 0.0000 0.5000 0.6670
```